Here is crystalline SrTc2Ir at its relaxed geometry from Alexandria via LeMat-Bulk. Energies are from GGA-PBE.

a b c (Å): 2.789 2.789 9.173
angles (deg): 90.00 90.00 90.00
Atoms (fractional coordinates):
Tc: 0.000 0.000 0.044
Sr: 0.500 0.500 0.750
Tc: 0.000 0.000 0.456
Ir: 0.500 0.500 0.250

N(E_F) = 3.88 states/eV per cell
Calculated total energy = -7.23 eV per atom
Crystal system = tetragonal
Offset from the most stable computed form = 20.1 kJ/mol of atoms
Space-group type = P4/mmm, No. 123
Formation enthalpy at 0 K = 0.588 eV per atom